Here is a relaxed Na2CuPd crystal from Alexandria via LeMat-Bulk. Energies are from PBE.

a b c (Å): 6.1131 6.1131 6.1131
angles (deg): 100.76 100.76 128.79
Fractional positions:
Na (0.1199, 0.6250, 0.9949)
Na (0.3750, 0.3699, 0.4949)
Na (0.6301, 0.1250, 0.0051)
Na (0.8750, 0.8801, 0.5051)
Cu (0.0000, 0.0000, 0.0000)
Cu (0.7500, 0.2500, 0.5000)
Pd (0.2500, 0.7500, 0.5000)
Pd (0.5000, 0.5000, 0.0000)

Values from the calculation:
- offset from the most stable computed form (meV/atom) = 34
- formation energy (kJ per mole of atoms) = 24.2
- magnetization (μB per cell) = 0.00
- raw total energy (eV/atom) = -2.73